[1]
Material: Ho2Sc
Method: DFT, PBE
State: relaxed

The calculation puts the energy above the most stable polymorph in this dataset at 0.88 eV per formula unit. The value obtained for the formation enthalpy at 0 K is 0.339 eV/atom. The total energy is -4.82 eV/atom.

It has space group Fd-3m (No. 227, origin choice 2), with a = 8.976 Å, b = 8.976 Å, c = 8.976 Å, α = 90.00°, β = 90.00° and γ = 90.00°. The distinct sites, in fractional coordinates, are Ho at (0.000, 0.000, 0.000) and Sc at (0.125, 0.125, 0.625).

***

[2]
Material: Pm2Dy6HoTm
Method: DFT, PBE
State: relaxed

The value obtained for the formation enthalpy at 0 K is 0.116 eV/atom. The total energy is -4.50 eV/atom.

It has space group C2/c (No. 15), with a = 9.001 Å, b = 15.016 Å, c = 9.646 Å, α = 90.00°, β = 98.75° and γ = 90.00°. The distinct sites, in fractional coordinates, are Pm at (0.247, 0.052, 0.043), Dy at (0.064, 0.189, 0.443), Dy at (0.103, 0.395, 0.620), Dy at (0.203, 0.223, 0.813), Ho at (0.000, 0.019, 0.750) and Tm at (0.000, 0.407, 0.250).

***

[3]
Material: HoAsH
Method: DFT, PBE
State: relaxed

The calculation puts the energy above the most stable polymorph in this dataset at 0.11 eV per formula unit. The total energy is -4.98 eV/atom.

It has space group P-6m2 (No. 187), with a = 3.6681 Å, b = 3.6681 Å, c = 4.2510 Å, α = 90.00°, β = 90.00° and γ = 120.00°. The distinct sites, in fractional coordinates, are Ho at (0.0000, 0.0000, 0.0000), As at (0.6667, 0.3333, 0.5000) and H at (0.3333, 0.6667, 0.0000).

***

[4]
Material: DyScRuPt
Method: DFT, PBE
State: relaxed

The calculation puts the energy above the most stable polymorph in this dataset at 0.22 eV per formula unit. The value obtained for the formation enthalpy at 0 K is -0.836 eV/atom. The total energy is -7.40 eV/atom.

It has space group F-43m (No. 216), with a = 6.697 Å, b = 6.697 Å, c = 6.697 Å, α = 90.00°, β = 90.00° and γ = 90.00°. The distinct sites, in fractional coordinates, are Dy at (0.000, 0.000, 0.000), Sc at (0.000, 0.000, 0.500), Ru at (0.250, 0.250, 0.750) and Pt at (0.250, 0.250, 0.250).